Entry from the Alexandria database: a relaxed structure of ZnCdTc2 (PBE).

Computed properties:
Calculated volume: 15.78 A^3/atom
Distance to the lowest polymorph of the same formula: 299 meV/atom
Energy of formation from the pure elements: 0.360 eV/atom

abc: 2.698 2.698 9.125
angles: 90.00 90.00 108.16
Sites, in units of the cell vectors:
Tc 0.000 0.000 0.015
Tc 0.000 0.000 0.485
Cd 0.500 0.500 0.750
Zn 0.500 0.500 0.250


Entry from the Alexandria database: a relaxed structure of ZnCdTc2 (PBE).

Computed properties:
Calculated volume: 15.93 A^3/atom
Distance to the lowest polymorph of the same formula: 273 meV/atom
Energy of formation from the pure elements: 0.334 eV/atom

abc: 5.167 5.167 5.167
angles: 144.13 126.94 65.71
Sites, in units of the cell vectors:
Zn 0.508 0.508 0.000
Tc 0.981 0.981 0.000
Tc 0.758 0.258 0.500
Cd 0.253 0.753 0.500


Q: What is the formula in the second record?
A: ZnCdTc2